VASP calculation (PBE) on a geometry-optimized YMg2W structure.

The structure in CIF format:
```
data_YMg2W
_chemical_formula_sum 'Y1 Mg2 W1'
_symmetry_space_group_name_H-M 'P m m 2'
_symmetry_Int_Tables_number 25
_cell_length_a 3.078
_cell_length_b 3.898
_cell_length_c 7.402
_cell_angle_alpha 90.00
_cell_angle_beta 90.00
_cell_angle_gamma 90.00
loop_
_symmetry_equiv_pos_as_xyz
'x,y,z'
'-x,-y,z'
'-x,y,z'
'x,-y,z'
loop_
_atom_site_label
_atom_site_fract_x
_atom_site_fract_y
_atom_site_fract_z
Y1 0.000 0.000 0.000
Mg1 0.000 0.000 0.562
Mg2 0.500 0.500 0.330
W1 0.500 0.500 0.761
```

Properties
VASP energy in eV/atom: -5.235
Formation energy from the elements in eV per atom: 0.4167
Energy above the lowest structure with this stoichiometry in meV/atom: 71.0



VASP calculation (PBE) on a geometry-optimized Li17Ac2Cd3 structure.

The structure in CIF format:
```
data_Li17Ac2Cd3
_chemical_formula_sum 'Li17 Ac2 Cd3'
_symmetry_space_group_name_H-M 'P -1'
_symmetry_Int_Tables_number 2
_cell_length_a 8.142
_cell_length_b 8.144
_cell_length_c 8.145
_cell_angle_alpha 85.60
_cell_angle_beta 84.14
_cell_angle_gamma 85.00
loop_
_symmetry_equiv_pos_as_xyz
'x,y,z'
'-x,-y,-z'
loop_
_atom_site_label
_atom_site_fract_x
_atom_site_fract_y
_atom_site_fract_z
Li1 0.000 0.000 0.000
Li2 0.000 0.241 0.259
Li3 0.000 0.500 0.500
Li4 0.091 0.593 0.092
Li5 0.200 0.168 0.667
Li6 0.255 0.500 0.745
Li7 0.257 0.243 0.999
Li8 0.331 0.300 0.331
Li9 0.332 0.831 0.800
Li10 0.500 0.500 0.000
Ac1 0.325 0.820 0.323
Cd1 0.000 0.000 0.500
Cd2 0.500 0.000 0.000
Cd3 0.500 0.500 0.500
```

Properties
VASP energy in eV/atom: -1.947
Formation energy from the elements in eV per atom: 0.0299



VASP calculation (PBE) on a geometry-optimized TlRe2Rh structure.

The structure in CIF format:
```
data_TlRe2Rh
_chemical_formula_sum 'Tl2 Re4 Rh2'
_symmetry_space_group_name_H-M 'I 4/m m m'
_symmetry_Int_Tables_number 139
_symmetry_space_group_name_Hall '-I 4 2'
_cell_length_a 3.846
_cell_length_b 3.846
_cell_length_c 8.820
_cell_angle_alpha 90.00
_cell_angle_beta 90.00
_cell_angle_gamma 90.00
loop_
_atom_site_label
_atom_site_fract_x
_atom_site_fract_y
_atom_site_fract_z
Tl1 0.000 0.000 0.000
Re1 0.000 0.500 0.250
Rh1 0.000 0.000 0.500
```

Properties
VASP energy in eV/atom: -8.007
Formation energy from the elements in eV per atom: 0.6462
Energy above the lowest structure with this stoichiometry in meV/atom: 319.5



VASP calculation (PBE) on a geometry-optimized ScAlPb2 structure.

The structure in CIF format:
```
data_ScAlPb2
_chemical_formula_sum 'Sc4 Al4 Pb8'
_symmetry_space_group_name_H-M 'I -4 2 d'
_symmetry_Int_Tables_number 122
_symmetry_space_group_name_Hall 'I -4 2bw'
_cell_length_a 8.085
_cell_length_b 8.085
_cell_length_c 6.336
_cell_angle_alpha 90.00
_cell_angle_beta 90.00
_cell_angle_gamma 90.00
loop_
_atom_site_label
_atom_site_fract_x
_atom_site_fract_y
_atom_site_fract_z
Sc1 0.000 0.000 0.000
Al1 0.000 0.000 0.500
Pb1 0.225 0.750 0.625
```

Properties
VASP energy in eV/atom: -4.293
Formation energy from the elements in eV per atom: 0.0801



VASP calculation (PBE) on a geometry-optimized Tl5AsS4F2 structure.

The structure in CIF format:
```
data_Tl5AsS4F2
_chemical_formula_sum 'Tl10 As2 S8 F4'
_symmetry_space_group_name_H-M 'A m m 2'
_symmetry_Int_Tables_number 38
_cell_length_a 8.382
_cell_length_b 10.791
_cell_length_c 7.677
_cell_angle_alpha 90.00
_cell_angle_beta 90.00
_cell_angle_gamma 90.00
loop_
_symmetry_equiv_pos_as_xyz
'x,y,z'
'-x,-y,z'
'-x,y,z'
'x,-y,z'
'x,y+1/2,z+1/2'
'-x,-y+1/2,z+1/2'
'-x,y+1/2,z+1/2'
'x,-y+1/2,z+1/2'
loop_
_atom_site_label
_atom_site_fract_x
_atom_site_fract_y
_atom_site_fract_z
Tl1 0.000 0.000 0.000
Tl2 0.229 0.186 0.613
As1 0.500 0.000 0.109
S1 0.283 0.000 0.270
S2 0.500 0.166 0.942
F1 0.000 0.237 0.912
```

Properties
Formation energy from raw total energies in eV per atom: -0.745
VASP energy in eV/atom: -3.806



VASP calculation (PBE) on a geometry-optimized AlSiGe2 structure.

The structure in CIF format:
```
data_AlSiGe2
_chemical_formula_sum 'Al4 Si4 Ge8'
_symmetry_space_group_name_H-M 'I -4 2 d'
_symmetry_Int_Tables_number 122
_symmetry_space_group_name_Hall 'I -4 2bw'
_cell_length_a 5.773
_cell_length_b 5.773
_cell_length_c 11.167
_cell_angle_alpha 90.00
_cell_angle_beta 90.00
_cell_angle_gamma 90.00
loop_
_atom_site_label
_atom_site_fract_x
_atom_site_fract_y
_atom_site_fract_z
Al1 0.000 0.000 0.000
Si1 0.000 0.000 0.500
Ge1 0.235 0.250 0.625
```

Properties
Formation energy from raw total energies in eV per atom: 0.137
VASP energy in eV/atom: -4.463
Energy above the lowest structure with this stoichiometry in meV/atom: 0.0



VASP energy of number 5 (Tl5AsS4F2)?
-3.806 eV/atom



What did the third record say?
VASP calculation (PBE) on a geometry-optimized TlRe2Rh structure.

The structure in CIF format:
```
data_TlRe2Rh
_chemical_formula_sum 'Tl2 Re4 Rh2'
_symmetry_space_group_name_H-M 'I 4/m m m'
_symmetry_Int_Tables_number 139
_symmetry_space_group_name_Hall '-I 4 2'
_cell_length_a 3.846
_cell_length_b 3.846
_cell_length_c 8.820
_cell_angle_alpha 90.00
_cell_angle_beta 90.00
_cell_angle_gamma 90.00
loop_
_atom_site_label
_atom_site_fract_x
_atom_site_fract_y
_atom_site_fract_z
Tl1 0.000 0.000 0.000
Re1 0.000 0.500 0.250
Rh1 0.000 0.000 0.500
```

Properties
VASP energy in eV/atom: -8.007
Formation energy from the elements in eV per atom: 0.6462
Energy above the lowest structure with this stoichiometry in meV/atom: 319.5



Please write out number 6 again, unchanged.
VASP calculation (PBE) on a geometry-optimized AlSiGe2 structure.

The structure in CIF format:
```
data_AlSiGe2
_chemical_formula_sum 'Al4 Si4 Ge8'
_symmetry_space_group_name_H-M 'I -4 2 d'
_symmetry_Int_Tables_number 122
_symmetry_space_group_name_Hall 'I -4 2bw'
_cell_length_a 5.773
_cell_length_b 5.773
_cell_length_c 11.167
_cell_angle_alpha 90.00
_cell_angle_beta 90.00
_cell_angle_gamma 90.00
loop_
_atom_site_label
_atom_site_fract_x
_atom_site_fract_y
_atom_site_fract_z
Al1 0.000 0.000 0.000
Si1 0.000 0.000 0.500
Ge1 0.235 0.250 0.625
```

Properties
Formation energy from raw total energies in eV per atom: 0.137
VASP energy in eV/atom: -4.463
Energy above the lowest structure with this stoichiometry in meV/atom: 0.0



Which value of VASP energy does entry 3 give?
-8.007 eV/atom